Compound: K2CaSi2
Source: Alexandria via LeMat-Bulk
Functional: PBE
Structure: relaxed

Cell lengths 7.818, 7.818, 5.528 Å; angles 90.00, 90.00, 90.00 degrees
Fractional positions:
K (0.177, 0.323, 0.000)
K (0.323, 0.823, 0.000)
K (0.677, 0.177, 0.000)
K (0.823, 0.677, 0.000)
Ca (0.000, 0.000, 0.500)
Ca (0.500, 0.500, 0.500)
Si (0.102, 0.602, 0.500)
Si (0.398, 0.102, 0.500)
Si (0.602, 0.898, 0.500)
Si (0.898, 0.398, 0.500)

Calculated values
Crystal system = tetragonal
E above lowest polymorph = 0.002 eV/atom
E_tot = -2.92 eV per atom

***

Compound: LaPm2Pr2Nd2
Source: Alexandria via LeMat-Bulk
Functional: PBE
Structure: relaxed

Cell lengths 6.401, 6.401, 8.267 Å; angles 97.39, 97.39, 48.20 degrees
Fractional positions:
La (0.000, 0.000, 0.000)
Pm (0.142, 0.142, 0.430)
Pm (0.858, 0.858, 0.570)
Pr (0.286, 0.286, 0.855)
Pr (0.714, 0.714, 0.145)
Nd (0.428, 0.428, 0.288)
Nd (0.572, 0.572, 0.712)

Calculated values
Crystal system = monoclinic
DFT formation energy = 0.02 eV per atom
E_tot = -4.77 eV per atom

***

Compound: TeAs2
Source: Alexandria via LeMat-Bulk
Functional: PBE
Structure: relaxed

Cell lengths 6.316, 6.316, 8.379 Å; angles 115.53, 115.53, 34.16 degrees
Fractional positions:
Te (0.058, 0.058, 0.188)
Te (0.942, 0.942, 0.812)
As (0.161, 0.161, 0.791)
As (0.382, 0.382, 0.433)
As (0.618, 0.618, 0.567)
As (0.839, 0.839, 0.209)

Calculated values
Crystal system = monoclinic
E_tot = -4.06 eV per atom

***

Compound: InMo2Cl
Source: Alexandria via LeMat-Bulk
Functional: PBE
Structure: relaxed

Cell lengths 3.009, 3.009, 9.735 Å; angles 90.00, 90.00, 113.94 degrees
Fractional positions:
In (0.000, 0.000, 0.000)
Mo (0.000, 0.000, 0.543)
Mo (0.500, 0.500, 0.738)
Cl (0.500, 0.500, 0.336)

Calculated values
Crystal system = orthorhombic
E above lowest polymorph = 0.096 eV/atom
E_tot = -6.34 eV per atom